No. 1
Here is an optimized crystal structure of SrSc2TiOs from the Alexandria database. Energies are from PBE.

a b c (Å): 4.943 4.799 4.943
angles (deg): 90.00 90.00 90.00
Sites, in units of the cell vectors:
Sc  0.000  0.000  0.500
Sc  0.500  0.000  0.000
Sr  0.000  0.000  0.000
Os  0.000  0.500  0.000
Ti  0.500  0.500  0.500

Calculated values
Space-group type = P4/mmm

No. 2
Here is an optimized crystal structure of SrY2ScOs from the Alexandria database. Energies are from PBE.

a b c (Å): 5.520 5.520 5.188
angles (deg): 90.00 90.00 90.00
Sites, in units of the cell vectors:
Y  0.000  0.500  0.000
Y  0.500  0.000  0.000
Sr  0.500  0.500  0.500
Os  0.000  0.000  0.000
Sc  0.000  0.000  0.500

Calculated values
Space-group type = P4/mmm

No. 3
Here is an optimized crystal structure of ScTa2Os2 from the Alexandria database. Energies are from PBE.

a b c (Å): 7.777 7.777 2.943
angles (deg): 90.00 90.00 90.00
Sites, in units of the cell vectors:
Sc  0.000  0.000  0.000
Sc  0.500  0.500  0.000
Os  0.151  0.651  0.500
Os  0.651  0.849  0.500
Os  0.849  0.349  0.500
Os  0.349  0.151  0.500
Ta  0.355  0.855  0.000
Ta  0.855  0.645  0.000
Ta  0.645  0.145  0.000
Ta  0.145  0.355  0.000

Calculated values
Space-group type = P4/mbm

Summary of formation energy from the elements in eV/f.u.
9.58; -0.34; -0.64
(order as listed above)